1.
The following is a PBE calculation of crystalline SrC2 at its relaxed geometry, from Alexandria via LeMat-Bulk.

Its energy of formation is 0.22 eV/f.u. Its uncorrected energy is -6.637 eV/atom. For the theoretical density, the calculation gives 3.0 Mg/m³. Its crystal system is hexagonal.

The space group is P6_3/mmc (No. 194) and the conventional cell measures 4.1071, 4.1071 and 8.3710 Å, with angles of 90.00, 90.00 and 120.00 degrees. The inequivalent atoms are Sr at (0.0000, 0.0000, 0.0000) and C at (0.3333, 0.6667, 0.1748).



2.
The following is a PBE calculation of crystalline Sr3C at its relaxed geometry, from Alexandria via LeMat-Bulk.

The energy above the most stable polymorph in this dataset comes out at 224.2 meV/atom. Its energy of formation is 2.50 eV/f.u. Its uncorrected energy is -2.942 eV/atom. For the theoretical density, the calculation gives 3.5 Mg/m³. Its crystal system is tetragonal.

The space group is P4/mmm (No. 123) and the conventional cell measures 3.552, 3.552 and 10.422 Å, with angles of 90.00, 90.00 and 90.00 degrees. The inequivalent atoms are Sr at (0.000, 0.000, 0.000), Sr at (0.500, 0.500, 0.354) and C at (0.000, 0.000, 0.500).



3.
The following is a PBE calculation of crystalline SrC at its relaxed geometry, from Alexandria via LeMat-Bulk.

The energy above the most stable polymorph in this dataset comes out at 1346.2 meV/atom. Its energy of formation is 2.76 eV/f.u. Its uncorrected energy is -4.074 eV/atom. For the theoretical density, the calculation gives 3.7 Mg/m³. Its crystal system is hexagonal.

The space group is P-6m2 (No. 187) and the conventional cell measures 3.8627, 3.8627 and 3.4491 Å, with angles of 90.00, 90.00 and 120.00 degrees. The inequivalent atoms are Sr at (0.0000, 0.0000, 0.0000) and C at (0.3333, 0.6667, 0.5000).



4.
The following is a PBE calculation of crystalline SrC at its relaxed geometry, from Alexandria via LeMat-Bulk.

The energy above the most stable polymorph in this dataset comes out at 580.9 meV/atom. Its energy of formation is 1.23 eV/f.u. Its uncorrected energy is -4.839 eV/atom. For the theoretical density, the calculation gives 4.3 Mg/m³. Its crystal system is tetragonal.

The space group is I4/mmm (No. 139) and the conventional cell measures 10.419, 10.419 and 2.858 Å, with angles of 90.00, 90.00 and 90.00 degrees. The inequivalent atoms are Sr at (0.000, 0.241, 0.000) and C at (0.227, 0.227, 0.500).



5.
The following is a PBE calculation of crystalline SrC at its relaxed geometry, from Alexandria via LeMat-Bulk.

The energy above the most stable polymorph in this dataset comes out at 2060.5 meV/atom. Its energy of formation is 4.19 eV/f.u. Its uncorrected energy is -3.359 eV/atom. For the theoretical density, the calculation gives 4.5 Mg/m³. Its crystal system is cubic.

The space group is Fd-3m (No. 227, origin choice 2) and the conventional cell measures 6.661, 6.661 and 6.661 Å, with angles of 90.00, 90.00 and 90.00 degrees. The inequivalent atoms are Sr at (0.125, 0.125, 0.125) and C at (0.125, 0.125, 0.625).



6.
The following is a PBE calculation of crystalline SrC2 at its relaxed geometry, from Alexandria via LeMat-Bulk.

Its energy of formation is 0.08 eV/f.u. Its uncorrected energy is -6.682 eV/atom. For the theoretical density, the calculation gives 3.2 Mg/m³. Its crystal system is tetragonal.

The space group is I4/mmm (No. 139) and the conventional cell measures 4.126, 4.126 and 6.818 Å, with angles of 90.00, 90.00 and 90.00 degrees. The inequivalent atoms are Sr at (0.000, 0.000, 0.000) and C at (0.000, 0.000, 0.407).



7.
The following is a PBE calculation of crystalline SrC at its relaxed geometry, from Alexandria via LeMat-Bulk.

The energy above the most stable polymorph in this dataset comes out at 1075.2 meV/atom. Its energy of formation is 2.22 eV/f.u. Its uncorrected energy is -4.345 eV/atom. For the theoretical density, the calculation gives 3.8 Mg/m³. Its crystal system is hexagonal.

The space group is P6_3/mmc (No. 194) and the conventional cell measures 3.6287, 3.6287 and 15.2737 Å, with angles of 90.00, 90.00 and 120.00 degrees. The inequivalent atoms are Sr at (0.3333, 0.6667, 0.1337), C at (0.0000, 0.0000, 0.2500) and C at (0.3333, 0.6667, 0.7500).



8.
The following is a PBE calculation of crystalline Sr3C at its relaxed geometry, from Alexandria via LeMat-Bulk.

The energy above the most stable polymorph in this dataset comes out at 841.8 meV/atom. Its energy of formation is 4.97 eV/f.u. Its uncorrected energy is -2.324 eV/atom. For the theoretical density, the calculation gives 3.8 Mg/m³. Its crystal system is tetragonal.

The space group is I4/mmm (No. 139) and the conventional cell measures 4.840, 4.840 and 10.269 Å, with angles of 90.00, 90.00 and 90.00 degrees. The inequivalent atoms are Sr at (0.000, 0.000, 0.000), Sr at (0.000, 0.500, 0.250) and C at (0.000, 0.000, 0.500).